This record from the Alexandria database describes an optimized crystal structure of CeDy2Tm5. The functional is GGA-PBE.

abc: 4.957 7.007 14.026
angles: 90.00 90.00 90.00
Element x y z (fractional)
Tm 0.000 0.998 0.250
Tm 0.500 0.245 0.376
Ce 0.000 0.000 0.500
Tm 0.000 0.000 0.000
Ce 0.000 0.500 0.000
Tm 0.000 0.498 0.250
Dy 0.500 0.752 0.376
Tm 0.000 0.002 0.750
Dy 0.500 0.248 0.624
Dy 0.500 0.748 0.876
Tm 0.500 0.755 0.624
Tm 0.000 0.500 0.500
Tm 0.000 0.502 0.750
Dy 0.500 0.252 0.124
Tm 0.500 0.745 0.124
Tm 0.500 0.255 0.876

Results
Symmetry = Pbam, No. 55
Energy of formation from the pure elements = 0.04 eV/atom
E = -4.6451 eV/atom
Magnetization = 2.1 μB per cell
Offset from the most stable computed form = 3.2 meV/atom